Density functional theory data (PBE) for crystalline InAg3SnTe4 at its relaxed geometry.

It has space group P2_1/m (No. 11), with a = 6.6835 Å, b = 8.2483 Å, c = 10.3350 Å, α = 90.00°, β = 103.56° and γ = 90.00°. Symmetry generates all atoms from In at (0.2064, 0.2500, 0.0498), Ag at (0.2167, 0.0561, 0.5237), Ag at (0.3284, 0.2500, 0.7647), Sn at (0.2250, 0.7500, 0.2859), Te at (0.0513, 0.5182, 0.7444), Te at (0.3195, 0.7500, 0.0338) and Te at (0.4835, 0.7500, 0.5534).

The total energy comes out at -56.79 eV for the cell shown.